Pr3Y2Tm6Zr: relaxed, PBE-GGA.

The structure in CIF format:
```
data_Pr3Y2Tm6Zr
_space_group_name_H-M_alt 'C 1 2/m 1'
_space_group_IT_number 12
_space_group_name_Hall '-C 2y'
_cell_length_a 6.1319
_cell_length_b 10.6114
_cell_length_c 11.6154
_cell_angle_alpha 90.00
_cell_angle_beta 100.11
_cell_angle_gamma 90.00
loop_
_atom_site_label
_atom_site_type_symbol
_atom_site_fract_x
_atom_site_fract_y
_atom_site_fract_z
Pr1 Pr 0.0000 0.0000 0.0000
Pr2 Pr 0.0000 0.3342 0.0000
Y1 Y 0.0000 0.1668 0.5000
Tm1 Tm 0.2425 0.3373 0.7414
Tm2 Tm 0.2453 0.5000 0.2590
Zr1 Zr 0.0000 0.5000 0.5000
```

Computed properties:
E_tot ... -124.1 eV for the cell shown
Formation energy ... 0.59 eV per formula unit



PrTm5Zn6: relaxed, PBE-GGA.

The structure in CIF format:
```
data_PrTm5Zn6
_space_group_name_H-M_alt 'C m m m'
_space_group_IT_number 65
_space_group_name_Hall '-C 2 2'
_cell_length_a 5.0035
_cell_length_b 15.0949
_cell_length_c 7.1367
_cell_angle_alpha 90.00
_cell_angle_beta 90.00
_cell_angle_gamma 90.00
loop_
_atom_site_label
_atom_site_type_symbol
_atom_site_fract_x
_atom_site_fract_y
_atom_site_fract_z
Pr1 Pr 0.0000 0.0000 0.0000
Tm1 Tm 0.0000 0.0000 0.5000
Tm2 Tm 0.0000 0.3308 0.0000
Tm3 Tm 0.0000 0.3360 0.5000
Zn1 Zn 0.0000 0.1712 0.2590
Zn2 Zn 0.0000 0.5000 0.2595
```

Computed properties:
E_tot ... -77.5 eV for the cell shown
Formation energy ... -3.99 eV per formula unit



Pr2TmZn4: relaxed, PBE-GGA.

The structure in CIF format:
```
data_Pr2TmZn4
_space_group_name_H-M_alt 'I 4/m m m'
_space_group_IT_number 139
_space_group_name_Hall '-I 4 2'
_cell_length_a 5.2123
_cell_length_b 5.2123
_cell_length_c 12.8854
_cell_angle_alpha 90.00
_cell_angle_beta 90.00
_cell_angle_gamma 90.00
loop_
_atom_site_label
_atom_site_type_symbol
_atom_site_fract_x
_atom_site_fract_y
_atom_site_fract_z
Pr1 Pr 0.0000 0.0000 0.2225
Tm1 Tm 0.0000 0.0000 0.5000
Zn1 Zn 0.0000 0.5000 0.1028
```

Computed properties:
E_tot ... -40.3 eV for the cell shown
Formation energy ... -1.03 eV per formula unit



Pr2TmZn3: relaxed, PBE-GGA.

The structure in CIF format:
```
data_Pr2TmZn3
_space_group_name_H-M_alt 'P 4/m m m'
_space_group_IT_number 123
_space_group_name_Hall '-P 4 2'
_cell_length_a 3.6239
_cell_length_b 3.6239
_cell_length_c 11.0962
_cell_angle_alpha 90.00
_cell_angle_beta 90.00
_cell_angle_gamma 90.00
loop_
_atom_site_label
_atom_site_type_symbol
_atom_site_fract_x
_atom_site_fract_y
_atom_site_fract_z
Pr1 Pr 0.0000 0.0000 0.1736
Tm1 Tm 0.0000 0.0000 0.5000
Zn1 Zn 0.5000 0.5000 0.0000
Zn2 Zn 0.5000 0.5000 0.3531
```

Computed properties:
E_tot ... -19.7 eV for the cell shown
Formation energy ... -1.84 eV per formula unit



Pr6TmZn2: relaxed, PBE-GGA.

The structure in CIF format:
```
data_Pr6TmZn2
_space_group_name_H-M_alt 'C 1 2/m 1'
_space_group_IT_number 12
_space_group_name_Hall '-C 2y'
_cell_length_a 12.9077
_cell_length_b 3.7414
_cell_length_c 12.1663
_cell_angle_alpha 90.00
_cell_angle_beta 109.73
_cell_angle_gamma 90.00
loop_
_atom_site_label
_atom_site_type_symbol
_atom_site_fract_x
_atom_site_fract_y
_atom_site_fract_z
Pr1 Pr 0.0293 0.0000 0.3242
Pr2 Pr 0.1883 0.5000 0.5934
Pr3 Pr 0.1882 0.5000 0.8766
Tm1 Tm 0.0000 0.0000 0.0000
Zn1 Zn 0.1412 0.5000 0.1885
```

Computed properties:
E_tot ... -73.7 eV for the cell shown
Formation energy ... -1.16 eV per formula unit



Pr2Tm2Zn: relaxed, PBE-GGA.

The structure in CIF format:
```
data_Pr2Tm2Zn
_space_group_name_H-M_alt 'I 4/m m m'
_space_group_IT_number 139
_space_group_name_Hall '-I 4 2'
_cell_length_a 3.5743
_cell_length_b 3.5743
_cell_length_c 22.8833
_cell_angle_alpha 90.00
_cell_angle_beta 90.00
_cell_angle_gamma 90.00
loop_
_atom_site_label
_atom_site_type_symbol
_atom_site_fract_x
_atom_site_fract_y
_atom_site_fract_z
Pr1 Pr 0.0000 0.0000 0.1900
Tm1 Tm 0.0000 0.0000 0.4250
Zn1 Zn 0.0000 0.0000 0.0000
```

Computed properties:
E_tot ... -40.8 eV for the cell shown
Formation energy ... -0.63 eV per formula unit



Pr4TmZn5: relaxed, PBE-GGA.

The structure in CIF format:
```
data_Pr4TmZn5
_space_group_name_H-M_alt 'P 4/m m m'
_space_group_IT_number 123
_space_group_name_Hall '-P 4 2'
_cell_length_a 3.6641
_cell_length_b 3.6641
_cell_length_c 18.4920
_cell_angle_alpha 90.00
_cell_angle_beta 90.00
_cell_angle_gamma 90.00
loop_
_atom_site_label
_atom_site_type_symbol
_atom_site_fract_x
_atom_site_fract_y
_atom_site_fract_z
Pr1 Pr 0.0000 0.0000 0.1024
Pr2 Pr 0.0000 0.0000 0.3064
Tm1 Tm 0.0000 0.0000 0.5000
Zn1 Zn 0.5000 0.5000 0.0000
Zn2 Zn 0.5000 0.5000 0.2031
Zn3 Zn 0.5000 0.5000 0.4132
```

Computed properties:
E_tot ... -33.0 eV for the cell shown
Formation energy ... -3.03 eV per formula unit



PrTm2Zn: relaxed, PBE-GGA.

The structure in CIF format:
```
data_PrTm2Zn
_space_group_name_H-M_alt 'P 4/m m m'
_space_group_IT_number 123
_space_group_name_Hall '-P 4 2'
_cell_length_a 4.7504
_cell_length_b 4.7504
_cell_length_c 4.7949
_cell_angle_alpha 90.00
_cell_angle_beta 90.00
_cell_angle_gamma 90.00
loop_
_atom_site_label
_atom_site_type_symbol
_atom_site_fract_x
_atom_site_fract_y
_atom_site_fract_z
Pr1 Pr 0.0000 0.0000 0.0000
Tm1 Tm 0.0000 0.5000 0.5000
Zn1 Zn 0.5000 0.5000 0.0000
```

Computed properties:
E_tot ... -15.1 eV for the cell shown
Distance to the lowest polymorph of the same formula ... 146 meV per atom
Formation energy ... -0.10 eV per formula unit



Pr9Tm4Zn11: relaxed, PBE-GGA.

The structure in CIF format:
```
data_Pr9Tm4Zn11
_space_group_name_H-M_alt 'C m m m'
_space_group_IT_number 65
_space_group_name_Hall '-C 2 2'
_cell_length_a 15.2689
_cell_length_b 22.3505
_cell_length_c 3.5299
_cell_angle_alpha 90.00
_cell_angle_beta 90.00
_cell_angle_gamma 90.00
loop_
_atom_site_label
_atom_site_type_symbol
_atom_site_fract_x
_atom_site_fract_y
_atom_site_fract_z
Pr1 Pr 0.0000 0.0000 0.0000
Pr2 Pr 0.1150 0.2451 0.0000
Pr3 Pr 0.1258 0.4172 0.0000
Tm1 Tm 0.1520 0.0960 0.0000
Zn1 Zn 0.0000 0.1377 0.5000
Zn2 Zn 0.0000 0.3365 0.5000
Zn3 Zn 0.0000 0.5000 0.5000
Zn4 Zn 0.2290 0.0000 0.5000
Zn5 Zn 0.2415 0.3230 0.5000
```

Computed properties:
E_tot ... -160.6 eV for the cell shown
Formation energy ... -5.38 eV per formula unit



PrTm2Zn: relaxed, PBE-GGA.

The structure in CIF format:
```
data_PrTm2Zn
_space_group_name_H-M_alt 'R 3 m'
_space_group_IT_number 160
_space_group_name_Hall 'R 3 -2"'
_cell_length_a 4.9676
_cell_length_b 4.9676
_cell_length_c 16.4128
_cell_angle_alpha 90.00
_cell_angle_beta 90.00
_cell_angle_gamma 120.00
loop_
_atom_site_label
_atom_site_type_symbol
_atom_site_fract_x
_atom_site_fract_y
_atom_site_fract_z
Pr1 Pr 0.0000 0.0000 0.0000
Tm1 Tm 0.0000 0.0000 0.5538
Tm2 Tm 0.0000 0.0000 0.7872
Zn1 Zn 0.0000 0.0000 0.2060
```

Computed properties:
E_tot ... -44.2 eV for the cell shown
Distance to the lowest polymorph of the same formula ... 237 meV per atom
Formation energy ... 0.27 eV per formula unit



Pr12Tm3Zn: relaxed, PBE-GGA.

The structure in CIF format:
```
data_Pr12Tm3Zn
_space_group_name_H-M_alt 'P 4/m m m'
_space_group_IT_number 123
_space_group_name_Hall '-P 4 2'
_cell_length_a 5.1008
_cell_length_b 5.1008
_cell_length_c 20.5718
_cell_angle_alpha 90.00
_cell_angle_beta 90.00
_cell_angle_gamma 90.00
loop_
_atom_site_label
_atom_site_type_symbol
_atom_site_fract_x
_atom_site_fract_y
_atom_site_fract_z
Pr1 Pr 0.0000 0.0000 0.0000
Pr2 Pr 0.0000 0.0000 0.2446
Pr3 Pr 0.0000 0.0000 0.5000
Pr4 Pr 0.0000 0.5000 0.1190
Pr5 Pr 0.0000 0.5000 0.3728
Tm1 Tm 0.5000 0.5000 0.2461
Tm2 Tm 0.5000 0.5000 0.5000
Zn1 Zn 0.5000 0.5000 0.0000
```

Computed properties:
E_tot ... -71.9 eV for the cell shown
Formation energy ... 0.13 eV per formula unit



PrTm2Zn6: relaxed, PBE-GGA.

The structure in CIF format:
```
data_PrTm2Zn6
_space_group_name_H-M_alt 'P 6/m m m'
_space_group_IT_number 191
_space_group_name_Hall '-P 6 2'
_cell_length_a 7.7985
_cell_length_b 7.7985
_cell_length_c 3.4992
_cell_angle_alpha 90.00
_cell_angle_beta 90.00
_cell_angle_gamma 120.00
loop_
_atom_site_label
_atom_site_type_symbol
_atom_site_fract_x
_atom_site_fract_y
_atom_site_fract_z
Pr1 Pr 0.0000 0.0000 0.0000
Tm1 Tm 0.3333 0.6667 0.0000
Zn1 Zn 0.0000 0.3381 0.5000
```

Computed properties:
E_tot ... -24.5 eV for the cell shown
Formation energy ... -3.18 eV per formula unit